VASP calculation (PBE) on an optimized crystal structure of PmIn2AgCl6.

Calculated values
Its calculated total energy is -74.8 eV/cell. The size of the total moment comes out at 0.00 μB/f.u.

a b c (Å): 7.3490 7.7681 12.6848
angles (deg): 90.00 124.18 90.00
Space group P2_1/c (No. 14)
Inequivalent atoms, fractional coordinates:
Pm 0.0000 0.0000 0.0000
In 0.2796 0.0744 0.7567
Ag 0.5000 0.0000 0.5000
Cl 0.1457 0.0276 0.2505
Cl 0.2418 0.7072 0.0524
Cl 0.3504 0.1903 0.0462